# WCl2O, optimized geometry, DFT GGA+U
data_WCl2O
_chemical_formula_sum 'W4 Cl8 O4'
_symmetry_space_group_name_H-M 'F m -3 m'
_symmetry_Int_Tables_number 225
_symmetry_space_group_name_Hall '-F 4 2 3'
_cell_length_a 6.0912
_cell_length_b 6.0912
_cell_length_c 6.0912
_cell_angle_alpha 90.00
_cell_angle_beta 90.00
_cell_angle_gamma 90.00
loop_
_atom_site_label
_atom_site_type_symbol
_atom_site_fract_x
_atom_site_fract_y
_atom_site_fract_z
W1 W 0.0000 0.0000 0.0000
Cl1 Cl 0.2500 0.2500 0.2500
O1 O 0.0000 0.0000 0.5000
# Energy relative to the lowest polymorph listed for this composition, meV/atom: 1453
# Total energy, eV/f.u.: -14.31
# DOS(E_F), states/eV/cell: 0.00